Entry 1:
This record from OQMD describes a relaxed structure of Ba2HfCo. The functional is PBE-GGA.

The structure in CIF format:
```
data_Ba2HfCo
_cell_length_a 5.4206
_cell_length_b 5.4206
_cell_length_c 5.4206
_cell_angle_alpha 60.00
_cell_angle_beta 60.00
_cell_angle_gamma 60.00
_space_group_name_H-M_alt 'P 1'
_space_group_IT_number 1
loop_
_space_group_symop_operation_xyz
'x,y,z'
loop_
_atom_site_label
_atom_site_type_symbol
_atom_site_fract_x
_atom_site_fract_y
_atom_site_fract_z
Hf1 Hf 0.5000 0.5000 0.5000
Ba1 Ba 0.2500 0.2500 0.2500
Co1 Co 0.7500 0.7500 0.7500
Ba2 Ba 0.0000 0.0000 0.0000
```

Computed properties:
- crystal system = cubic
- symmetry = No. 216

***

Entry 2:
This record from OQMD describes a relaxed structure of YCu2Ir. The functional is PBE-GGA.

The structure in CIF format:
```
data_YCu2Ir
_cell_length_a 4.5647
_cell_length_b 4.5647
_cell_length_c 4.5647
_cell_angle_alpha 60.00
_cell_angle_beta 60.00
_cell_angle_gamma 60.00
_space_group_name_H-M_alt 'P 1'
_space_group_IT_number 1
loop_
_space_group_symop_operation_xyz
'x,y,z'
loop_
_atom_site_label
_atom_site_type_symbol
_atom_site_fract_x
_atom_site_fract_y
_atom_site_fract_z
Y1 Y 0.5000 0.5000 0.5000
Cu1 Cu 0.0000 0.0000 0.0000
Ir1 Ir 0.7500 0.7500 0.7500
Cu2 Cu 0.2500 0.2500 0.2500
```

Computed properties:
- crystal system = cubic
- symmetry = No. 216

***

Entry 3:
This record from OQMD describes a relaxed structure of Ho2TmGa3FeGe2. The functional is PBE-GGA.

The structure in CIF format:
```
data_Ho2TmGa3FeGe2
_cell_length_a 4.1207
_cell_length_b 6.9262
_cell_length_c 6.9262
_cell_angle_alpha 119.86
_cell_angle_beta 90.00
_cell_angle_gamma 90.00
_space_group_name_H-M_alt 'P 1'
_space_group_IT_number 1
loop_
_space_group_symop_operation_xyz
'x,y,z'
loop_
_atom_site_label
_atom_site_type_symbol
_atom_site_fract_x
_atom_site_fract_y
_atom_site_fract_z
Ho1 Ho 0.0000 0.9997 0.5988
Ga1 Ga 0.5000 0.7728 0.7728
Ge1 Ge 0.5000 0.3341 0.6654
Ho2 Ho 0.0000 0.5988 0.9997
Ge2 Ge 0.5000 0.6654 0.3341
Ga2 Ga 0.5000 0.2273 0.0007
Fe1 Fe 0.0000 0.0016 0.0016
Tm1 Tm 0.0000 0.3996 0.3996
Ga3 Ga 0.5000 0.0007 0.2273
```

Computed properties:
- crystal system = orthorhombic
- symmetry = No. 38

***

DFT total energy
In order: -16.86; -23.32; -46.04
Unit: eV/f.u.